# 1
## Re3RhSe (PBEsol)

Data for Re3RhSe after structural relaxation.

Lattice parameters (Å, degrees): 4.625 4.625 4.625 90.00 90.00 90.00
Last column: magnetic moment on the atom in μB.
Atoms (fractional coordinates):
Re  0.000  0.000  0.500  0.10
Re  0.500  0.000  0.000  0.10
Re  0.000  0.500  0.000  0.10
Rh  0.000  0.000  0.000  0.00
Se  0.500  0.500  0.500  -0.01

Properties
- DOS(E_F) (states/eV/cell) = 7.54
- formation energy (no corrections) (eV/atom) = 2.50
- uncorrected energy (eV for the cell shown) = -39.5



# 2
## ReRhSe4 (PBEsol)

Data for ReRhSe4 after structural relaxation.

Lattice parameters (Å, degrees): 5.323 5.323 5.323 60.00 60.00 60.00
Last column: magnetic moment on the atom in μB.
Atoms (fractional coordinates):
Se  0.375  0.876  0.375  0.01
Se  0.375  0.375  0.876  0.01
Rh  0.000  0.000  0.000  0.25
Se  0.876  0.375  0.375  0.01
Se  0.375  0.375  0.375  0.01
Re  0.750  0.750  0.750  1.70

Properties
- DOS(E_F) (states/eV/cell) = 6.59
- formation energy (no corrections) (eV/atom) = 1.50
- uncorrected energy (eV for the cell shown) = -27.9



# 3
## ReSiRh (PBEsol)

Data for ReSiRh after structural relaxation.

Lattice parameters (Å, degrees): 3.979 3.979 3.979 60.00 60.00 60.00
Atoms (fractional coordinates):
Si  0.250  0.250  0.250
Rh  0.500  0.500  0.500
Re  0.000  0.000  0.000

Properties
- DOS(E_F) (states/eV/cell) = 3.24
- formation energy (no corrections) (eV/atom) = 0.01
- uncorrected energy (eV for the cell shown) = -27.2
- offset from the most stable computed form (kJ/mol of formula units) = 90.0



# 4
## ReSiRh2 (PBEsol)

Data for ReSiRh2 after structural relaxation.

Lattice parameters (Å, degrees): 2.767 4.329 5.185 114.67 105.47 90.00
Atoms (fractional coordinates):
Si  0.498  0.498  0.996
Rh  0.788  0.288  0.577
Rh  0.991  0.991  0.982
Re  0.223  0.723  0.445

Properties
- DOS(E_F) (states/eV/cell) = 2.68
- formation energy (no corrections) (eV/atom) = -0.34
- uncorrected energy (eV for the cell shown) = -36.7



# 5
## Re2SiRh (PBEsol)

Data for Re2SiRh after structural relaxation.

Lattice parameters (Å, degrees): 2.859 2.859 6.595 90.00 90.00 90.00
Atoms (fractional coordinates):
Rh  0.500  0.500  0.000
Re  0.000  0.000  0.725
Si  0.500  0.500  0.500
Re  0.000  0.000  0.275

Properties
- DOS(E_F) (states/eV/cell) = 2.21
- formation energy (no corrections) (eV/atom) = -0.16
- uncorrected energy (eV for the cell shown) = -41.2



# 6
## Re2SiRh (PBEsol)

Data for Re2SiRh after structural relaxation.

Lattice parameters (Å, degrees): 3.751 3.751 4.715 113.44 113.44 90.00
Atoms (fractional coordinates):
Re  0.250  0.750  0.500
Rh  0.500  0.500  0.000
Si  0.000  0.000  0.000
Re  0.750  0.250  0.500

Properties
- DOS(E_F) (states/eV/cell) = 4.29
- formation energy (no corrections) (eV/atom) = -0.01
- uncorrected energy (eV for the cell shown) = -40.6



# 7
## ReSiRh (PBEsol)

Data for ReSiRh after structural relaxation.

Lattice parameters (Å, degrees): 2.865 2.865 5.229 105.90 105.90 90.00
Atoms (fractional coordinates):
Rh  0.683  0.683  0.366
Re  0.985  0.985  0.970
Si  0.332  0.332  0.665

Properties
- DOS(E_F) (states/eV/cell) = 1.89
- formation energy (no corrections) (eV/atom) = -0.30
- uncorrected energy (eV for the cell shown) = -28.1
- offset from the most stable computed form (kJ/mol of formula units) = 0.0



# 8
## ReSiRh2 (PBEsol)

Data for ReSiRh2 after structural relaxation.

Lattice parameters (Å, degrees): 2.755 3.768 5.417 90.00 104.73 90.00
Atoms (fractional coordinates):
Si  0.838  0.000  0.675
Rh  0.412  0.500  0.824
Re  0.679  0.500  0.358
Rh  0.068  0.000  0.135

Properties
- DOS(E_F) (states/eV/cell) = 2.50
- formation energy (no corrections) (eV/atom) = -0.35
- uncorrected energy (eV for the cell shown) = -36.8



# 9
## ReSn3Rh (PBEsol)

Data for ReSn3Rh after structural relaxation.

Lattice parameters (Å, degrees): 4.950 4.950 4.950 90.00 90.00 90.00
Last column: magnetic moment on the atom in μB.
Atoms (fractional coordinates):
Re  0.500  0.500  0.500  2.65
Sn  0.000  0.500  0.000  -0.03
Sn  0.500  0.000  0.000  -0.03
Sn  0.000  0.000  0.500  -0.03
Rh  0.000  0.000  0.000  -0.11

Properties
- DOS(E_F) (states/eV/cell) = 4.83
- uncorrected energy (eV for the cell shown) = -28.7
- energy of formation (meV per atom) = 1104



# 10
## YRe2SnRh (PBEsol)

Data for YRe2SnRh after structural relaxation.

Lattice parameters (Å, degrees): 4.756 4.756 5.263 90.00 90.00 90.00
Atoms (fractional coordinates):
Rh  0.500  0.500  0.500
Y  0.000  0.000  0.500
Sn  0.000  0.000  0.000
Re  0.000  0.500  0.000
Re  0.500  0.000  0.000

Properties
- DOS(E_F) (states/eV/cell) = 7.79
- uncorrected energy (eV for the cell shown) = -34.7
- energy of formation (meV per atom) = 2242



# 11
## SrRe2Rh (PBEsol)

Data for SrRe2Rh after structural relaxation.

Lattice parameters (Å, degrees): 3.102 5.110 5.542 117.45 106.26 90.00
Atoms (fractional coordinates):
Sr  0.249  0.749  0.497
Rh  0.466  0.466  0.932
Re  0.742  0.242  0.483
Re  0.044  0.044  0.087

Properties
- DOS(E_F) (states/eV/cell) = 4.20
- uncorrected energy (eV for the cell shown) = -33.4
- offset from the most stable computed form (kJ/mol of formula units) = 134.4
- energy of formation (meV per atom) = 811



# 12
## SrReRh (PBEsol)

Data for SrReRh after structural relaxation.

Lattice parameters (Å, degrees): 2.808 4.757 4.757 120.00 90.00 90.00
Atoms (fractional coordinates):
Re  0.000  0.000  0.000
Sr  0.500  0.667  0.333
Rh  0.000  0.333  0.667

Properties
- DOS(E_F) (states/eV/cell) = 2.63
- uncorrected energy (eV for the cell shown) = -20.7
- offset from the most stable computed form (kJ/mol of formula units) = 0.0
- energy of formation (meV per atom) = 857



# 13
## SrRe2Rh (PBEsol)

Data for SrRe2Rh after structural relaxation.

Lattice parameters (Å, degrees): 2.835 3.632 7.333 90.00 92.53 90.00
Atoms (fractional coordinates):
Sr  0.533  0.500  0.740
Re  0.432  0.500  0.246
Re  0.039  0.000  0.074
Rh  0.996  0.000  0.440

Properties
- DOS(E_F) (states/eV/cell) = 3.69
- uncorrected energy (eV for the cell shown) = -34.8
- offset from the most stable computed form (kJ/mol of formula units) = 0.0
- energy of formation (meV per atom) = 463



# 14
## SrReRh (PBEsol)

Data for SrReRh after structural relaxation.

Lattice parameters (Å, degrees): 2.886 2.886 7.470 90.00 90.00 120.00
Atoms (fractional coordinates):
Sr  0.333  0.667  0.338
Re  0.000  0.000  0.964
Rh  0.667  0.333  0.698

Properties
- DOS(E_F) (states/eV/cell) = 4.31
- uncorrected energy (eV for the cell shown) = -20.7
- offset from the most stable computed form (kJ/mol of formula units) = 1.1
- energy of formation (meV per atom) = 861



# 15
## SrRe2Rh (PBEsol)

Data for SrRe2Rh after structural relaxation.

Lattice parameters (Å, degrees): 2.907 4.658 6.164 99.21 90.00 108.18
Atoms (fractional coordinates):
Re  0.977  0.954  0.892
Re  0.246  0.492  0.778
Rh  0.521  0.042  0.563
Sr  0.756  0.512  0.267

Properties
- DOS(E_F) (states/eV/cell) = 4.44
- uncorrected energy (eV for the cell shown) = -34.3
- offset from the most stable computed form (kJ/mol of formula units) = 46.6
- energy of formation (meV per atom) = 584



# 16
## TaReRh3 (PBEsol)

Data for TaReRh3 after structural relaxation.

Lattice parameters (Å, degrees): 4.575 4.575 4.575 90.00 90.00 90.00
Last column: magnetic moment on the atom in μB.
Atoms (fractional coordinates):
Rh  0.500  0.000  0.000  0.03
Rh  0.000  0.500  0.000  0.03
Rh  0.000  0.000  0.500  0.03
Re  0.000  0.000  0.000  0.00
Ta  0.500  0.500  0.500  0.60

Properties
- DOS(E_F) (states/eV/cell) = 7.74
- uncorrected energy (eV for the cell shown) = -42.4
- energy of formation (meV per atom) = 1583



# 17
## TaRe2Rh (PBEsol)

Data for TaRe2Rh after structural relaxation.

Lattice parameters (Å, degrees): 3.851 3.851 4.880 113.24 113.24 90.00
Atoms (fractional coordinates):
Rh  0.500  0.500  0.000
Re  0.250  0.750  0.500
Ta  0.000  0.000  0.000
Re  0.750  0.250  0.500

Properties
- DOS(E_F) (states/eV/cell) = 3.11
- uncorrected energy (eV for the cell shown) = -47.7
- offset from the most stable computed form (kJ/mol of formula units) = 0.0
- energy of formation (meV per atom) = -82



# 18
## TaRe2Rh (PBEsol)

Data for TaRe2Rh after structural relaxation.

Lattice parameters (Å, degrees): 4.409 4.409 4.409 60.00 60.00 60.00
Atoms (fractional coordinates):
Re  0.750  0.750  0.750
Rh  0.500  0.500  0.500
Ta  0.250  0.250  0.250
Re  0.000  0.000  0.000

Properties
- DOS(E_F) (states/eV/cell) = 7.51
- uncorrected energy (eV for the cell shown) = -47.1
- offset from the most stable computed form (kJ/mol of formula units) = 60.0
- energy of formation (meV per atom) = 73



# 19
## ReTc2Rh (PBEsol)

Data for ReTc2Rh after structural relaxation.

Lattice parameters (Å, degrees): 2.689 3.850 5.412 90.00 90.00 90.00
Atoms (fractional coordinates):
Re  0.500  0.500  0.000
Rh  0.500  0.500  0.500
Tc  0.000  0.000  0.755
Tc  0.000  0.000  0.245

Properties
- DOS(E_F) (states/eV/cell) = 3.61
- uncorrected energy (eV for the cell shown) = -44.1
- offset from the most stable computed form (kJ/mol of formula units) = 1.7
- energy of formation (meV per atom) = -17



# 20
## ReTc2Rh (PBEsol)

Data for ReTc2Rh after structural relaxation.

Lattice parameters (Å, degrees): 2.704 2.704 7.656 90.00 90.00 90.00
Atoms (fractional coordinates):
Re  0.000  0.000  0.500
Rh  0.500  0.500  0.748
Tc  0.500  0.500  0.247
Tc  0.000  0.000  0.004

Properties
- DOS(E_F) (states/eV/cell) = 3.61
- uncorrected energy (eV for the cell shown) = -44.1
- offset from the most stable computed form (kJ/mol of formula units) = 0.0
- energy of formation (meV per atom) = -21



# 21
## ReTcRh2 (PBEsol)

Data for ReTcRh2 after structural relaxation.

Lattice parameters (Å, degrees): 2.681 4.307 4.750 90.00 90.00 90.00
Atoms (fractional coordinates):
Rh  0.000  0.000  0.039
Rh  0.000  0.500  0.709
Tc  0.500  0.000  0.539
Re  0.500  0.500  0.214

Properties
- DOS(E_F) (states/eV/cell) = 2.22
- uncorrected energy (eV for the cell shown) = -41.7
- offset from the most stable computed form (kJ/mol of formula units) = 0.0
- energy of formation (meV per atom) = -203



# 22
## ReTcRh2 (PBEsol)

Data for ReTcRh2 after structural relaxation.

Lattice parameters (Å, degrees): 3.766 3.766 4.706 113.59 113.59 90.00
Atoms (fractional coordinates):
Rh  0.750  0.250  0.500
Rh  0.250  0.750  0.500
Tc  0.000  0.000  0.000
Re  0.500  0.500  0.000

Properties
- DOS(E_F) (states/eV/cell) = 3.90
- uncorrected energy (eV for the cell shown) = -41.2
- offset from the most stable computed form (kJ/mol of formula units) = 45.7
- energy of formation (meV per atom) = -85



# 23
## Re2TcRh (PBEsol)

Data for Re2TcRh after structural relaxation.

Lattice parameters (Å, degrees): 3.834 3.834 3.835 90.00 90.00 90.00
Atoms (fractional coordinates):
Tc  0.000  0.000  0.500
Rh  0.500  0.500  0.500
Re  0.500  0.000  0.000
Re  0.000  0.500  0.000

Properties
- DOS(E_F) (states/eV/cell) = 2.84
- uncorrected energy (eV for the cell shown) = -46.3
- offset from the most stable computed form (kJ/mol of formula units) = 0.0
- energy of formation (meV per atom) = -59



# 24
## Re2TcRh (PBEsol)

Data for Re2TcRh after structural relaxation.

Lattice parameters (Å, degrees): 3.228 3.228 5.523 90.00 90.00 90.00
Atoms (fractional coordinates):
Rh  0.500  0.500  0.000
Tc  0.500  0.500  0.500
Re  0.000  0.000  0.762
Re  0.000  0.000  0.238

Properties
- DOS(E_F) (states/eV/cell) = 3.32
- uncorrected energy (eV for the cell shown) = -44.9
- offset from the most stable computed form (kJ/mol of formula units) = 133.0
- energy of formation (meV per atom) = 285



# 25
## Ti2ReRh (PBEsol)

Data for Ti2ReRh after structural relaxation.

Lattice parameters (Å, degrees): 4.339 4.339 4.339 60.00 60.00 60.00
Atoms (fractional coordinates):
Ti  0.750  0.750  0.750
Rh  0.000  0.000  0.000
Re  0.500  0.500  0.500
Ti  0.250  0.250  0.250

Properties
- DOS(E_F) (states/eV/cell) = 1.12
- uncorrected energy (eV for the cell shown) = -40.8
- energy of formation (meV per atom) = -662



# 26
## TlReRh (PBEsol)

Data for TlReRh after structural relaxation.

Lattice parameters (Å, degrees): 4.337 4.337 4.337 60.00 60.00 60.00
Atoms (fractional coordinates):
Rh  0.000  0.000  0.000
Tl  0.500  0.500  0.500
Re  0.250  0.250  0.250

Properties
- DOS(E_F) (states/eV/cell) = 3.89
- uncorrected energy (eV for the cell shown) = -21.0
- energy of formation (meV per atom) = 1039



# 27
## Re2RhW (PBEsol)

Data for Re2RhW after structural relaxation.

Lattice parameters (Å, degrees): 4.371 4.371 4.371 60.00 60.00 60.00
Last column: magnetic moment on the atom in μB.
Atoms (fractional coordinates):
Re  0.250  0.250  0.250  0.07
Rh  0.000  0.000  0.000  0.15
Re  0.750  0.750  0.750  0.07
W  0.500  0.500  0.500  0.00

Properties
- DOS(E_F) (states/eV/cell) = 7.96
- uncorrected energy (eV for the cell shown) = -47.3
- offset from the most stable computed form (kJ/mol of formula units) = 141.8
- energy of formation (meV per atom) = 315



# 28
## ReRhW2 (PBEsol)

Data for ReRhW2 after structural relaxation.

Lattice parameters (Å, degrees): 2.748 3.894 5.560 90.00 90.00 90.00
Atoms (fractional coordinates):
Rh  0.500  0.500  0.500
Re  0.500  0.500  0.000
W  0.000  0.000  0.750
W  0.000  0.000  0.250

Properties
- DOS(E_F) (states/eV/cell) = 3.51
- uncorrected energy (eV for the cell shown) = -48.9
- offset from the most stable computed form (kJ/mol of formula units) = 15.4
- energy of formation (meV per atom) = 47



# 29
## Re2RhW (PBEsol)

Data for Re2RhW after structural relaxation.

Lattice parameters (Å, degrees): 2.649 4.038 5.525 90.00 94.46 90.00
Atoms (fractional coordinates):
Re  0.050  0.000  0.237
Re  0.950  0.000  0.763
W  0.500  0.500  0.500
Rh  0.500  0.500  0.000

Properties
- DOS(E_F) (states/eV/cell) = 3.08
- uncorrected energy (eV for the cell shown) = -48.3
- offset from the most stable computed form (kJ/mol of formula units) = 53.4
- energy of formation (meV per atom) = 86



# 30
## Re2RhW (PBEsol)

Data for Re2RhW after structural relaxation.

Lattice parameters (Å, degrees): 2.734 3.883 5.500 90.00 90.00 90.00
Atoms (fractional coordinates):
Rh  0.000  0.000  0.501
Re  0.500  0.500  0.241
Re  0.000  0.000  0.011
W  0.500  0.500  0.747

Properties
- DOS(E_F) (states/eV/cell) = 3.39
- uncorrected energy (eV for the cell shown) = -48.6
- offset from the most stable computed form (kJ/mol of formula units) = 19.9
- energy of formation (meV per atom) = -1



# 31
## Re2RhW (PBEsol)

Data for Re2RhW after structural relaxation.

Lattice parameters (Å, degrees): 3.854 3.854 3.909 90.00 90.00 90.00
Atoms (fractional coordinates):
Re  0.500  0.000  0.000
W  0.000  0.000  0.500
Re  0.000  0.500  0.000
Rh  0.500  0.500  0.500

Properties
- DOS(E_F) (states/eV/cell) = 2.86
- uncorrected energy (eV for the cell shown) = -48.8
- offset from the most stable computed form (kJ/mol of formula units) = 0.0
- energy of formation (meV per atom) = -52